# 1
# LiCeZnN2, relaxed, DFT GGA-PBE
data_LiCeZnN2
_chemical_formula_sum 'Li2 Ce2 Zn2 N4'
_symmetry_space_group_name_H-M 'P 1 2/c 1'
_symmetry_Int_Tables_number 13
_cell_length_a 5.502
_cell_length_b 3.864
_cell_length_c 6.374
_cell_angle_alpha 90.00
_cell_angle_beta 93.85
_cell_angle_gamma 90.00
loop_
_symmetry_equiv_pos_as_xyz
'x,y,z'
'-x,-y,-z'
'-x,y,-z+1/2'
'x,-y,z+1/2'
loop_
_atom_site_label
_atom_site_fract_x
_atom_site_fract_y
_atom_site_fract_z
Li1 0.000 0.028 0.250
Ce1 0.500 0.252 0.750
Zn1 0.000 0.500 0.000
N1 0.275 0.217 0.067
# - raw formation energy (meV/atom) = -623
# - D(E_F) (states/eV/atom) = 0.618

=====

# 2
# LiCeZr2N4, relaxed, DFT GGA-PBE
data_LiCeZr2N4
_chemical_formula_sum 'Li4 Ce4 Zr8 N16'
_symmetry_space_group_name_H-M 'C m c m'
_symmetry_Int_Tables_number 63
_symmetry_space_group_name_Hall '-C 2c 2'
_cell_length_a 3.296
_cell_length_b 10.816
_cell_length_c 11.042
_cell_angle_alpha 90.00
_cell_angle_beta 90.00
_cell_angle_gamma 90.00
loop_
_atom_site_label
_atom_site_fract_x
_atom_site_fract_y
_atom_site_fract_z
Li1 0.000 0.157 0.250
Ce1 0.000 0.109 0.750
Zr1 0.000 0.368 0.555
N1 0.000 0.000 0.000
N2 0.000 0.268 0.115
N3 0.000 0.447 0.750
# - raw formation energy (meV/atom) = -1451
# - D(E_F) (states/eV/atom) = 0.479

=====

# 3
# LiCeZrN3, relaxed, DFT GGA-PBE
data_LiCeZrN3
_chemical_formula_sum 'Li2 Ce2 Zr2 N6'
_symmetry_space_group_name_H-M 'P 1 21/m 1'
_symmetry_Int_Tables_number 11
_cell_length_a 6.010
_cell_length_b 3.439
_cell_length_c 8.418
_cell_angle_alpha 90.00
_cell_angle_beta 103.29
_cell_angle_gamma 90.00
loop_
_symmetry_equiv_pos_as_xyz
'x,y,z'
'-x,-y,-z'
'-x,y+1/2,-z'
'x,-y+1/2,z'
loop_
_atom_site_label
_atom_site_fract_x
_atom_site_fract_y
_atom_site_fract_z
Li1 0.163 0.250 0.056
Ce1 0.150 0.750 0.693
Zr1 0.364 0.750 0.330
N1 0.017 0.750 0.186
N2 0.255 0.250 0.508
N3 0.472 0.250 0.218
# - raw formation energy (meV/atom) = -1271

=====

# 4
# LiCe3Zr2N6, relaxed, DFT GGA-PBE
data_LiCe3Zr2N6
_chemical_formula_sum 'Li2 Ce6 Zr4 N12'
_symmetry_space_group_name_H-M 'C 1 2/m 1'
_symmetry_Int_Tables_number 12
_cell_length_a 5.916
_cell_length_b 10.224
_cell_length_c 5.886
_cell_angle_alpha 90.00
_cell_angle_beta 109.36
_cell_angle_gamma 90.00
loop_
_symmetry_equiv_pos_as_xyz
'x,y,z'
'-x,-y,-z'
'-x,y,-z'
'x,-y,z'
'x+1/2,y+1/2,z'
'-x+1/2,-y+1/2,-z'
'-x+1/2,y+1/2,-z'
'x+1/2,-y+1/2,z'
loop_
_atom_site_label
_atom_site_fract_x
_atom_site_fract_y
_atom_site_fract_z
Li1 0.000 0.000 0.000
Ce1 0.000 0.161 0.500
Ce2 0.000 0.500 0.500
Zr1 0.000 0.332 0.000
N1 0.224 0.500 0.231
N2 0.242 0.323 0.761
# - raw formation energy (meV/atom) = -1393
# - D(E_F) (states/eV/atom) = 0.697

=====

# 5
# LiCe2ZrN4, relaxed, DFT GGA-PBE
data_LiCe2ZrN4
_chemical_formula_sum 'Li1 Ce2 Zr1 N4'
_symmetry_space_group_name_H-M 'P 1 2/m 1'
_symmetry_Int_Tables_number 10
_cell_length_a 5.788
_cell_length_b 3.471
_cell_length_c 5.947
_cell_angle_alpha 90.00
_cell_angle_beta 108.96
_cell_angle_gamma 90.00
loop_
_symmetry_equiv_pos_as_xyz
'x,y,z'
'-x,-y,-z'
'-x,y,-z'
'x,-y,z'
loop_
_atom_site_label
_atom_site_fract_x
_atom_site_fract_y
_atom_site_fract_z
Li1 0.000 0.000 0.000
Ce1 0.500 0.000 0.500
Ce2 0.500 0.500 0.000
Zr1 0.000 0.500 0.500
N1 0.237 0.000 0.733
N2 0.258 0.500 0.278
# - raw formation energy (meV/atom) = -1245
# - D(E_F) (states/eV/atom) = 0.512

=====

# 6
# NaLi2Ce, relaxed, DFT GGA-PBE
data_NaLi2Ce
_chemical_formula_sum 'Na3 Li6 Ce3'
_symmetry_space_group_name_H-M 'R -3 m'
_symmetry_Int_Tables_number 166
_symmetry_space_group_name_Hall '-R 3 2"'
_cell_length_a 3.0877
_cell_length_b 3.0877
_cell_length_c 35.9128
_cell_angle_alpha 90.00
_cell_angle_beta 90.00
_cell_angle_gamma 120.00
loop_
_atom_site_label
_atom_site_fract_x
_atom_site_fract_y
_atom_site_fract_z
Na1 0.0000 0.0000 0.0000
Li1 0.0000 0.0000 0.4150
Ce1 0.0000 0.0000 0.5000
# - D(E_F) (states/eV/atom) = 1.346
# - total DFT energy (no corrections) (eV per atom) = -2.591